# Ta2SbMo PBE-GGA optimized geometry
data_Ta2SbMo
_cell_length_a 3.4527
_cell_length_b 4.9239
_cell_length_c 8.7944
_cell_angle_alpha 90.00
_cell_angle_beta 90.00
_cell_angle_gamma 90.00
_symmetry_space_group_name_H-M 'C m m m'
_symmetry_Int_Tables_number 65
_symmetry_space_group_name_Hall '-C 2 2'
loop_
_atom_site_label
_atom_site_fract_x
_atom_site_fract_y
_atom_site_fract_z
_atom_site_occupancy
Ta1 0.0000 0.0000 0.2384 1
Sb1 0.0000 0.5000 0.5000 1
Mo1 0.0000 0.5000 0.0000 1
# V = 18.689 Å³ per atom
# Energy relative to the elements, uncorrected = 0.13 eV/atom